A relaxed RbTmSnBr6 crystal, computed with PBE.

The structure in extended XYZ format:
```
9
Lattice="-0.3245 3.3395 6.7763 1.8739 -3.8737 6.2175 7.1414 2.2354 -0.7597" Properties=species:S:1:pos:R:3 pbc="T T T"
Br 5.5867 2.2710 5.8812
Br 5.0380 2.7161 2.0314
Br 2.6951 -0.6851 2.1709
Br 3.0695 -0.5582 6.0651
Br 1.8689 2.6131 4.1101
Br 6.2643 -0.7202 3.4490
Sn 4.6036 0.7614 8.2826
Rb 6.8168 5.5748 6.0165
Tm 4.0871 0.9394 3.9512
```

Results
The total magnetic moment comes out at 0.0 μB/cell. The space group is P312, No. 149. As for the total DFT energy (no corrections): -3.671 eV/atom. For the formation energy without anion corrections, the calculation gives -1.51 eV per atom.